Ac2BeGaPt6 | PBE | relaxed

ΔE_f (kJ/mol of atoms): -87
SG: P-1 (2)
Total energy (eV per atom): -6.019

a = 6.5497 Å, b = 6.7973 Å, c = 6.8067 Å
α = 49.07°, β = 73.83°, γ = 94.67°
Fractional coordinates of all 10 atoms:
Pt: 0.1259 0.2538 0.1280
Ac: 0.7137 0.2540 0.5407
Pt: 0.8741 0.7462 0.8720
Pt: 0.2526 0.2436 0.4836
Be: 0.5000 0.5000 0.0000
Pt: 0.2526 0.7372 0.9898
Pt: 0.7474 0.2628 0.0102
Ga: 0.0000 0.0000 0.0000
Pt: 0.7474 0.7564 0.5164
Ac: 0.2863 0.7460 0.4593